## ZrAlCd2 (PBE)

Data for crystalline ZrAlCd2 at its relaxed geometry.

Cell lengths 3.0755, 3.0755, 30.6004 Å; angles 90.00, 90.00, 120.00 degrees
Space group R-3m (No. 166, hexagonal axes)
One atom of each set of equivalent atoms:
Zr 0.0000 0.0000 0.0000
Al 0.0000 0.0000 0.5000
Cd 0.0000 0.0000 0.2460

Values from the calculation:
Energy relative to the elements, meV/atom: 24
Relative energy among the computed polymorphs, eV/atom: 0.258
Total moment, μB/f.u.: 0.00